(1)
Material: Tl8SnSe6
Method: DFT, PBE
State: relaxed

Unit cell a=9.1880 b=10.2195 c=11.0364 alpha=90.00 beta=90.00 gamma=90.00
Fractional positions:
Tl: 0.0000 0.1984 0.0000
Tl: 0.0000 0.2384 0.3716
Tl: 0.2034 0.7149 0.0230
Tl: 0.2338 0.9418 0.7303
Tl: 0.2442 0.5396 0.7464
Tl: 0.2558 0.4604 0.2464
Tl: 0.2662 0.0582 0.2303
Tl: 0.2966 0.2851 0.5230
Tl: 0.5000 0.7616 0.8716
Tl: 0.5000 0.8016 0.5000
Tl: 0.7034 0.2851 0.5230
Tl: 0.7338 0.0582 0.2303
Tl: 0.7442 0.4604 0.2464
Tl: 0.7558 0.5396 0.7464
Tl: 0.7662 0.9418 0.7303
Tl: 0.7966 0.7149 0.0230
Sn: 0.0000 0.7584 0.4223
Sn: 0.5000 0.2416 0.9223
Se: 0.0000 0.5009 0.0688
Se: 0.0000 0.5411 0.5416
Se: 0.0000 0.9074 0.9143
Se: 0.0000 0.9824 0.5351
Se: 0.2392 0.7636 0.2976
Se: 0.2608 0.2364 0.7976
Se: 0.5000 0.0176 0.0351
Se: 0.5000 0.0926 0.4143
Se: 0.5000 0.4589 0.0416
Se: 0.5000 0.4991 0.5688
Se: 0.7392 0.2364 0.7976
Se: 0.7608 0.7636 0.2976

Values from the calculation:
ΔE_f (raw): -0.34 eV/atom
calculated density: 7.14 g cm⁻³
M_tot: 0.0 μB/f.u.


(2)
Material: TlSnSe
Method: DFT, PBE
State: relaxed

Unit cell a=3.8297 b=6.9788 c=7.8305 alpha=115.67 beta=103.98 gamma=90.23
Fractional positions:
Tl: 0.0903 0.4148 0.1775
Tl: 0.9097 0.5852 0.8225
Sn: 0.3823 0.0553 0.7622
Sn: 0.6177 0.9447 0.2378
Se: 0.2465 0.2352 0.4921
Se: 0.7535 0.7648 0.5079

Values from the calculation:
DOS at the Fermi energy: 0.35 states/eV per atom
ΔE_f (raw): -0.23 eV/atom
calculated density: 7.35 g cm⁻³
M_tot: 0.0 μB/f.u.


(3)
Material: TlSn5Se7
Method: DFT, PBE
State: relaxed

Unit cell a=7.2619 b=7.2619 c=25.1153 alpha=90.00 beta=90.00 gamma=146.46
Fractional positions:
Tl: 0.1940 0.8060 0.7500
Tl: 0.8060 0.1940 0.2500
Sn: 0.0000 0.0000 0.0000
Sn: 0.0000 0.0000 0.5000
Sn: 0.2708 0.7292 0.0746
Sn: 0.2708 0.7292 0.4254
Sn: 0.4564 0.5436 0.6500
Sn: 0.4564 0.5436 0.8500
Sn: 0.5436 0.4564 0.1500
Sn: 0.5436 0.4564 0.3500
Sn: 0.7292 0.2708 0.5746
Sn: 0.7292 0.2708 0.9254
Se: 0.1024 0.8976 0.6056
Se: 0.1024 0.8976 0.8944
Se: 0.1727 0.8273 0.1699
Se: 0.1727 0.8273 0.3301
Se: 0.3643 0.6357 0.5355
Se: 0.3643 0.6357 0.9645
Se: 0.4702 0.5298 0.2500
Se: 0.5298 0.4702 0.7500
Se: 0.6357 0.3643 0.0355
Se: 0.6357 0.3643 0.4645
Se: 0.8273 0.1727 0.6699
Se: 0.8273 0.1727 0.8301
Se: 0.8976 0.1024 0.1056
Se: 0.8976 0.1024 0.3944

Values from the calculation:
DOS at the Fermi energy: 0.48 states/eV per atom
ΔE_f (raw): -0.40 eV/atom
calculated density: 6.13 g cm⁻³
M_tot: 0.0 μB/f.u.


(4)
Material: TlSn4Se8
Method: DFT, PBE
State: relaxed

Unit cell a=9.2392 b=9.2392 c=9.2392 alpha=50.13 beta=50.13 gamma=50.13
Fractional positions:
Tl: 0.0000 0.0000 0.0000
Sn: 0.0000 0.0000 0.5000
Sn: 0.0000 0.5000 0.0000
Sn: 0.5000 0.0000 0.0000
Sn: 0.5000 0.5000 0.5000
Se: 0.2325 0.2325 0.2325
Se: 0.2351 0.7319 0.7319
Se: 0.2681 0.2681 0.7649
Se: 0.2681 0.7649 0.2681
Se: 0.7319 0.2351 0.7319
Se: 0.7319 0.7319 0.2351
Se: 0.7649 0.2681 0.2681
Se: 0.7675 0.7675 0.7675

Values from the calculation:
DOS at the Fermi energy: 0.26 states/eV per atom
ΔE_f (raw): -0.37 eV/atom
calculated density: 5.09 g cm⁻³
M_tot: 0.0 μB/f.u.


(5)
Material: Tl2Sn2Se5
Method: DFT, PBE
State: relaxed

Unit cell a=7.7345 b=7.7345 c=8.6486 alpha=122.60 beta=122.60 gamma=39.41
Fractional positions:
Tl: 0.1146 0.1146 0.4665
Tl: 0.8854 0.8854 0.5335
Sn: 0.4032 0.4032 0.0950
Sn: 0.5968 0.5968 0.9050
Se: 0.1539 0.1539 0.8927
Se: 0.3732 0.3732 0.7593
Se: 0.5000 0.5000 0.5000
Se: 0.6268 0.6268 0.2407
Se: 0.8461 0.8461 0.1073

Values from the calculation:
DOS at the Fermi energy: 0.38 states/eV per atom
ΔE_f (raw): -0.29 eV/atom
calculated density: 6.42 g cm⁻³
M_tot: 0.0 μB/f.u.


(6)
Material: Tl12SnSe7
Method: DFT, PBE
State: relaxed

Unit cell a=9.5923 b=9.5923 c=9.5923 alpha=108.61 beta=108.61 gamma=108.61
Fractional positions:
Tl: 0.0486 0.3462 0.0812
Tl: 0.0812 0.0486 0.3462
Tl: 0.1708 0.7410 0.5247
Tl: 0.2590 0.4753 0.8292
Tl: 0.3462 0.0812 0.0486
Tl: 0.4753 0.8292 0.2590
Tl: 0.5247 0.1708 0.7410
Tl: 0.6538 0.9188 0.9514
Tl: 0.7410 0.5247 0.1708
Tl: 0.8292 0.2590 0.4753
Tl: 0.9188 0.9514 0.6538
Tl: 0.9514 0.6538 0.9188
Sn: 0.5000 0.5000 0.5000
Se: 0.0000 0.0000 0.0000
Se: 0.1472 0.4094 0.4335
Se: 0.4094 0.4335 0.1472
Se: 0.4335 0.1472 0.4094
Se: 0.5665 0.8528 0.5906
Se: 0.5906 0.5665 0.8528
Se: 0.8528 0.5906 0.5665

Values from the calculation:
DOS at the Fermi energy: 0.14 states/eV per atom
ΔE_f (raw): -0.31 eV/atom
calculated density: 7.41 g cm⁻³
M_tot: 0.0 μB/f.u.


(7)
Material: TlSnSe
Method: DFT, PBE
State: relaxed

Unit cell a=6.5403 b=6.5403 c=6.5403 alpha=146.58 beta=146.58 gamma=47.99
Fractional positions:
Tl: 0.0000 0.0000 0.0000
Sn: 0.3000 0.3000 0.0000
Se: 0.6928 0.6928 0.0000

Values from the calculation:
DOS at the Fermi energy: 0.45 states/eV per atom
ΔE_f (raw): -0.20 eV/atom
calculated density: 7.90 g cm⁻³
M_tot: 0.0 μB/f.u.


(8)
Material: TlSn3Se4
Method: DFT, PBE
State: relaxed

Unit cell a=7.4599 b=7.4599 c=4.2453 alpha=90.00 beta=90.00 gamma=109.10
Fractional positions:
Tl: 0.0000 0.0000 0.0000
Sn: 0.0000 0.5000 0.5000
Sn: 0.5000 0.0000 0.5000
Sn: 0.5000 0.5000 0.0000
Se: 0.2580 0.7420 0.0000
Se: 0.2660 0.2660 0.5000
Se: 0.7340 0.7340 0.5000
Se: 0.7420 0.2580 0.0000

Values from the calculation:
DOS at the Fermi energy: 0.36 states/eV per atom
ΔE_f (raw): -0.41 eV/atom
calculated density: 6.52 g cm⁻³
M_tot: 0.0 μB/f.u.


(9)
Material: Tl2SnSe
Method: DFT, PBE
State: relaxed

Unit cell a=8.2469 b=8.2469 c=8.2469 alpha=132.47 beta=132.47 gamma=69.49
Fractional positions:
Tl: 0.1230 0.6250 0.9980
Tl: 0.3750 0.3730 0.4980
Tl: 0.6270 0.1250 0.0020
Tl: 0.8750 0.8770 0.5020
Sn: 0.2500 0.7500 0.5000
Sn: 0.5000 0.5000 0.0000
Se: 0.0000 0.0000 0.0000
Se: 0.7500 0.2500 0.5000

Values from the calculation:
DOS at the Fermi energy: 0.02 states/eV per atom
ΔE_f (raw): -0.01 eV/atom
calculated density: 6.73 g cm⁻³
M_tot: 0.0 μB/f.u.


(10)
Material: TlSn6Se8
Method: DFT, PBE
State: relaxed

Unit cell a=10.9149 b=10.9149 c=4.2637 alpha=90.00 beta=90.00 gamma=120.00
Fractional positions:
Tl: 0.0000 0.0000 0.0000
Sn: 0.1378 0.4709 0.7490
Sn: 0.3330 0.8622 0.7490
Sn: 0.4709 0.3330 0.2510
Sn: 0.5291 0.6670 0.7490
Sn: 0.6670 0.1378 0.2510
Sn: 0.8622 0.5291 0.2510
Se: 0.0323 0.6993 0.7525
Se: 0.3007 0.3330 0.7525
Se: 0.3330 0.0323 0.2475
Se: 0.3333 0.6667 0.2479
Se: 0.6667 0.3333 0.7521
Se: 0.6670 0.9677 0.7525
Se: 0.6993 0.6670 0.2475
Se: 0.9677 0.3007 0.2475

Values from the calculation:
DOS at the Fermi energy: 0.40 states/eV per atom
ΔE_f (raw): -0.37 eV/atom
calculated density: 5.84 g cm⁻³
M_tot: 0.0 μB/f.u.


(11)
Material: Tl2SnSe4
Method: DFT, PBE
State: relaxed

Unit cell a=11.8393 b=6.7705 c=6.7705 alpha=118.22 beta=90.00 gamma=90.00
Fractional positions:
Tl: 0.0000 0.0000 0.0000
Tl: 0.2500 0.7242 0.4136
Tl: 0.5000 0.0000 0.0000
Tl: 0.7500 0.4136 0.7242
Sn: 0.2500 0.2956 0.7249
Sn: 0.7500 0.7249 0.2956
Se: 0.0829 0.0364 0.5094
Se: 0.2500 0.2977 0.1114
Se: 0.2500 0.7039 0.8164
Se: 0.4171 0.0364 0.5094
Se: 0.5829 0.5094 0.0364
Se: 0.7500 0.1114 0.2977
Se: 0.7500 0.8164 0.7039
Se: 0.9171 0.5094 0.0364

Values from the calculation:
ΔE_f (raw): -0.31 eV/atom
calculated density: 5.86 g cm⁻³
M_tot: 0.0 μB/f.u.


(12)
Material: Tl3SnSe3
Method: DFT, PBE
State: relaxed

Unit cell a=8.0281 b=8.0281 c=8.2828 alpha=95.34 beta=95.34 gamma=112.89
Fractional positions:
Tl: 0.1741 0.8259 0.0000
Tl: 0.2420 0.7580 0.5000
Tl: 0.3857 0.3857 0.1280
Tl: 0.6143 0.6143 0.8720
Tl: 0.7580 0.2420 0.5000
Tl: 0.8259 0.1741 0.0000
Sn: 0.1844 0.1844 0.6399
Sn: 0.8156 0.8156 0.3601
Se: 0.1062 0.1062 0.2945
Se: 0.1552 0.4799 0.7808
Se: 0.4799 0.1552 0.7808
Se: 0.5201 0.8448 0.2192
Se: 0.8448 0.5201 0.2192
Se: 0.8938 0.8938 0.7055

Values from the calculation:
DOS at the Fermi energy: 0.38 states/eV per atom
ΔE_f (raw): -0.33 eV/atom
calculated density: 6.64 g cm⁻³
M_tot: 0.0 μB/f.u.


(13)
Material: Tl5Sn3Se12
Method: DFT, PBE
State: relaxed

Unit cell a=14.6528 b=14.6528 c=14.6528 alpha=109.47 beta=109.47 gamma=109.47
Fractional positions:
Tl: 0.0000 0.0000 0.0000
Tl: 0.0000 0.0000 0.5000
Tl: 0.0000 0.5000 0.0000
Tl: 0.0000 0.5000 0.5000
Tl: 0.1250 0.7500 0.8750
Tl: 0.1250 0.8750 0.2500
Tl: 0.2500 0.1250 0.8750
Tl: 0.2500 0.6250 0.3750
Tl: 0.3750 0.2500 0.6250
Tl: 0.3750 0.6250 0.7500
Tl: 0.5000 0.0000 0.0000
Tl: 0.5000 0.0000 0.5000
Tl: 0.5000 0.5000 0.0000
Tl: 0.5000 0.5000 0.5000
Tl: 0.6250 0.3750 0.2500
Tl: 0.6250 0.7500 0.3750
Tl: 0.7500 0.3750 0.6250
Tl: 0.7500 0.8750 0.1250
Tl: 0.8750 0.1250 0.7500
Tl: 0.8750 0.2500 0.1250
Sn: 0.1250 0.2500 0.3750
Sn: 0.1250 0.3750 0.7500
Sn: 0.2500 0.3750 0.1250
Sn: 0.2500 0.8750 0.6250
Sn: 0.3750 0.1250 0.2500
Sn: 0.3750 0.7500 0.1250
Sn: 0.6250 0.2500 0.8750
Sn: 0.6250 0.8750 0.7500
Sn: 0.7500 0.1250 0.3750
Sn: 0.7500 0.6250 0.8750
Sn: 0.8750 0.6250 0.2500
Sn: 0.8750 0.7500 0.6250
Se: 0.0498 0.2220 0.1355
Se: 0.0498 0.3278 0.9143
Se: 0.0857 0.6355 0.4135
Se: 0.0865 0.7220 0.6722
Se: 0.0865 0.8645 0.4143
Se: 0.0857 0.9502 0.6722
Se: 0.1355 0.0498 0.2220
Se: 0.1355 0.5857 0.9135
Se: 0.1722 0.2220 0.5865
Se: 0.1722 0.4502 0.5857
Se: 0.2220 0.1355 0.0498
Se: 0.2220 0.5865 0.1722
Se: 0.2780 0.3278 0.9135
Se: 0.2780 0.4502 0.3645
Se: 0.3278 0.9143 0.0498
Se: 0.3278 0.9135 0.2780
Se: 0.3645 0.2780 0.4502
Se: 0.3645 0.5865 0.9143
Se: 0.4135 0.0857 0.6355
Se: 0.4143 0.0865 0.8645
Se: 0.4143 0.8278 0.5498
Se: 0.4135 0.8278 0.7780
Se: 0.4502 0.3645 0.2780
Se: 0.4502 0.5857 0.1722
Se: 0.5498 0.4143 0.8278
Se: 0.5498 0.6355 0.7220
Se: 0.5865 0.1722 0.2220
Se: 0.5857 0.1722 0.4502
Se: 0.5857 0.9135 0.1355
Se: 0.5865 0.9143 0.3645
Se: 0.6355 0.4135 0.0857
Se: 0.6355 0.7220 0.5498
Se: 0.6722 0.0865 0.7220
Se: 0.6722 0.0857 0.9502
Se: 0.7220 0.5498 0.6355
Se: 0.7220 0.6722 0.0865
Se: 0.7780 0.4135 0.8278
Se: 0.7780 0.8645 0.9502
Se: 0.8278 0.5498 0.4143
Se: 0.8278 0.7780 0.4135
Se: 0.8645 0.4143 0.0865
Se: 0.8645 0.9502 0.7780
Se: 0.9143 0.0498 0.3278
Se: 0.9135 0.1355 0.5857
Se: 0.9135 0.2780 0.3278
Se: 0.9143 0.3645 0.5865
Se: 0.9502 0.6722 0.0857
Se: 0.9502 0.7780 0.8645

Values from the calculation:
DOS at the Fermi energy: 0.88 states/eV per atom
ΔE_f (raw): -0.06 eV/atom
calculated density: 6.38 g cm⁻³
M_tot: 0.0 μB/f.u.


(14)
Material: TlSnSe3
Method: DFT, PBE
State: relaxed

Unit cell a=9.2707 b=9.2707 c=6.5785 alpha=90.02 beta=90.02 gamma=139.78
Fractional positions:
Tl: 0.1735 0.8265 0.5000
Tl: 0.8265 0.1735 0.0000
Sn: 0.4287 0.5719 0.6216
Sn: 0.5719 0.4287 0.1216
Se: 0.0501 0.3804 0.5039
Se: 0.3804 0.0501 0.0039
Se: 0.4289 0.5714 0.0176
Se: 0.5714 0.4289 0.5176
Se: 0.6193 0.9497 0.5043
Se: 0.9497 0.6193 0.0043

Values from the calculation:
DOS at the Fermi energy: 0.37 states/eV per atom
ΔE_f (raw): -0.23 eV/atom
calculated density: 5.09 g cm⁻³
M_tot: 0.0 μB/f.u.


(15)
Material: TlSn2Se4
Method: DFT, PBE
State: relaxed

Unit cell a=14.3516 b=14.3516 c=14.3516 alpha=16.01 beta=16.01 gamma=16.01
Fractional positions:
Tl: 0.0000 0.0000 0.0000
Sn: 0.4267 0.4267 0.4267
Sn: 0.5733 0.5733 0.5733
Se: 0.1295 0.1295 0.1295
Se: 0.2800 0.2800 0.2800
Se: 0.7200 0.7200 0.7200
Se: 0.8705 0.8705 0.8705

Values from the calculation:
DOS at the Fermi energy: 0.41 states/eV per atom
ΔE_f (raw): -0.36 eV/atom
calculated density: 6.42 g cm⁻³
M_tot: 0.0 μB/f.u.


(16)
Material: TlSnSe4
Method: DFT, PBE
State: relaxed

Unit cell a=4.9163 b=4.9163 c=7.7313 alpha=92.12 beta=92.12 gamma=76.74
Fractional positions:
Tl: 0.0000 0.0000 0.0000
Sn: 0.5000 0.5000 0.5000
Se: 0.1159 0.1159 0.4010
Se: 0.4048 0.4048 0.1188
Se: 0.5952 0.5952 0.8812
Se: 0.8841 0.8841 0.5990

Values from the calculation:
DOS at the Fermi energy: 0.67 states/eV per atom
ΔE_f (raw): -0.10 eV/atom
calculated density: 5.84 g cm⁻³
M_tot: 0.0 μB/f.u.


(17)
Material: TlSn2Se
Method: DFT, PBE
State: relaxed

Unit cell a=5.3105 b=5.3105 c=5.3105 alpha=60.00 beta=60.00 gamma=60.00
Fractional positions:
Tl: 0.0000 0.0000 0.0000
Sn: 0.2500 0.2500 0.2500
Sn: 0.7500 0.7500 0.7500
Se: 0.5000 0.5000 0.5000

Values from the calculation:
DOS at the Fermi energy: 0.49 states/eV per atom
ΔE_f (raw): 0.07 eV/atom
calculated density: 8.17 g cm⁻³
M_tot: 0.0 μB/f.u.